one.
TlNiTe3Au: optimized geometry, PBE.

a b c (Å): 8.226 3.897 10.337
angles (deg): 90.00 104.29 90.00
Fractional coordinates of all 12 atoms:
Au 0.004 0.750 0.393
Au 0.996 0.250 0.607
Ni 0.669 0.250 0.132
Ni 0.331 0.750 0.868
Te 0.459 0.750 0.123
Te 0.878 0.750 0.124
Te 0.709 0.250 0.395
Te 0.291 0.750 0.605
Te 0.122 0.250 0.876
Te 0.541 0.250 0.877
Tl 0.272 0.250 0.327
Tl 0.728 0.750 0.673

calculated volume = 321.1 Å³/cell
crystal system = monoclinic
M_tot = 0.00 μB per formula unit



two.
TlNiTe3Au: optimized geometry, PBE.

a b c (Å): 14.934 3.921 11.450
angles (deg): 90.00 90.00 90.00
Fractional coordinates of all 24 atoms:
Au 0.294 0.250 0.250
Au 0.794 0.250 0.250
Au 0.206 0.750 0.750
Au 0.706 0.750 0.750
Ni 0.535 0.750 0.137
Ni 0.035 0.750 0.363
Ni 0.965 0.250 0.637
Ni 0.465 0.250 0.863
Te 0.596 0.250 0.007
Te 0.167 0.750 0.217
Te 0.971 0.250 0.234
Te 0.471 0.250 0.266
Te 0.667 0.750 0.283
Te 0.096 0.250 0.493
Te 0.904 0.750 0.507
Te 0.333 0.250 0.717
Te 0.529 0.750 0.734
Te 0.029 0.750 0.766
Te 0.833 0.250 0.783
Te 0.404 0.750 0.993
Tl 0.816 0.750 0.032
Tl 0.316 0.750 0.468
Tl 0.684 0.250 0.532
Tl 0.184 0.250 0.968

calculated volume = 670.5 Å³/cell
crystal system = orthorhombic
M_tot = 0.00 μB per formula unit



Relative to the most stable one, in eV/atom, the structures come out at one 0.028; two 0.000.